(1)
Y2HfTiGa at its PBEsol-relaxed geometry. Source: Alexandria, functional meta-GGA SCAN.

Results
**VASP energy**: -146.9 eV/cell
**Calculated density**: 6.41 Mg/m³
**Energy relative to the elements**: 0.76 eV/atom
**Calculated volume**: 122.8 Å³/cell

abc: 4.9547 4.9786 4.9786
angles: 90.00 90.00 90.00
Positions (direct):
1 Hf 0.5000 0.5000 0.5000
2 Ga 0.5000 0.0000 0.0000
3 Y 0.0000 0.0000 0.5000
4 Ti 0.0000 0.0000 0.0000
5 Y 0.0000 0.5000 0.0000

***

(2)
Hf3V2Ga6 at its PBEsol-relaxed geometry. Source: Alexandria, functional meta-GGA SCAN.

Results
**VASP energy**: -653.3 eV/cell
**Calculated density**: 9.87 Mg/m³
**Energy relative to the elements**: -0.51 eV/atom
**Calculated volume**: 355.1 Å³/cell

abc: 5.3161 7.6619 8.7188
angles: 90.00 90.00 90.00
Positions (direct):
1 Ga 0.0000 0.6349 0.0000
2 Ga 0.5000 0.7722 0.1889
3 Hf 0.0000 0.2831 0.0000
4 Ga 0.2406 0.9615 0.0000
5 Hf 0.5000 0.1543 0.7787
6 V 0.7500 0.5000 0.2500
7 Ga 0.7406 0.0385 0.5000
8 V 0.2500 0.5000 0.2500
9 Hf 0.5000 0.1543 0.2213
10 V 0.7500 0.5000 0.7500
11 Ga 0.0000 0.2278 0.3111
12 Ga 0.0000 0.5636 0.5000
13 Ga 0.2594 0.0385 0.5000
14 V 0.2500 0.5000 0.7500
15 Ga 0.5000 0.7722 0.8111
16 Ga 0.5000 0.4364 0.0000
17 Ga 0.0000 0.2278 0.6889
18 Ga 0.7594 0.9615 0.0000
19 Hf 0.5000 0.7169 0.5000
20 Hf 0.0000 0.8457 0.2787
21 Hf 0.0000 0.8457 0.7213
22 Ga 0.5000 0.3651 0.5000

***

(3)
HfGaW3 at its PBEsol-relaxed geometry. Source: Alexandria, functional meta-GGA SCAN.

Results
**VASP energy**: -280.6 eV/cell
**Calculated density**: 13.99 Mg/m³
**Energy relative to the elements**: 1.50 eV/atom
**Calculated volume**: 94.9 Å³/cell

abc: 4.5614 4.5614 4.5614
angles: 90.00 90.00 90.00
Positions (direct):
1 W 0.5000 0.0000 0.0000
2 W 0.0000 0.5000 0.0000
3 W 0.0000 0.0000 0.5000
4 Ga 0.0000 0.0000 0.0000
5 Hf 0.5000 0.5000 0.5000

***

(4)
YHfGa3 at its PBEsol-relaxed geometry. Source: Alexandria, functional meta-GGA SCAN.

Results
**VASP energy**: -139.7 eV/cell
**Calculated density**: 6.46 Mg/m³
**Energy relative to the elements**: -0.02 eV/atom
**Calculated volume**: 122.5 Å³/cell

abc: 4.9663 4.9663 4.9663
angles: 90.00 90.00 90.00
Positions (direct):
1 Hf 0.0000 0.0000 0.0000
2 Ga 0.0000 0.0000 0.5000
3 Ga 0.5000 0.0000 0.0000
4 Ga 0.0000 0.5000 0.0000
5 Y 0.5000 0.5000 0.5000

***

(5)
Y2HfGa2 at its PBEsol-relaxed geometry. Source: Alexandria, functional meta-GGA SCAN.

Results
**VASP energy**: -307.6 eV/cell
**Calculated density**: 7.34 Mg/m³
**Energy relative to the elements**: -0.55 eV/atom
**Calculated volume**: 224.2 Å³/cell

abc: 4.2626 7.2521 7.2521
angles: 90.00 90.00 90.00
Positions (direct):
1 Ga 0.0000 0.1256 0.3744
2 Y 0.5000 0.6759 0.8241
3 Ga 0.0000 0.6256 0.1256
4 Y 0.5000 0.3241 0.1759
5 Ga 0.0000 0.3744 0.8744
6 Hf 0.0000 0.5000 0.5000
7 Hf 0.0000 0.0000 0.0000
8 Y 0.5000 0.8241 0.3241
9 Y 0.5000 0.1759 0.6759
10 Ga 0.0000 0.8744 0.6256

***

(6)
Hf2ZrGa at its PBEsol-relaxed geometry. Source: Alexandria, functional meta-GGA SCAN.

Results
**VASP energy**: -172.8 eV/cell
**Calculated density**: 11.09 Mg/m³
**Energy relative to the elements**: -0.11 eV/atom
**Calculated volume**: 77.6 Å³/cell

abc: 4.7868 4.7868 4.7868
angles: 60.00 60.00 60.00
Site moments in Bohr magnetons follow the coordinates.
Positions (direct):
1 Ga 0.0000 0.0000 0.0000  -0.02
2 Zr 0.5000 0.5000 0.5000  0.66
3 Hf 0.2500 0.2500 0.2500  0.12
4 Hf 0.7500 0.7500 0.7500  0.12

***

(7)
Hf5Zr5Ga6 at its PBEsol-relaxed geometry. Source: Alexandria, functional meta-GGA SCAN.

Results
**VASP energy**: -574.2 eV/cell
**Calculated density**: 9.47 Mg/m³
**Energy relative to the elements**: -0.58 eV/atom
**Calculated volume**: 309.8 Å³/cell

abc: 5.6494 7.9466 7.9466
angles: 119.72 90.00 90.00
Positions (direct):
1 Zr 0.0000 0.7553 0.7553
2 Zr 0.5000 0.0002 0.7595
3 Zr 0.0000 0.0003 0.2406
4 Zr 0.5000 0.7595 0.0002
5 Ga 0.0000 0.3943 0.3943
6 Hf 0.5000 0.2449 0.2449
7 Ga 0.5000 0.3946 0.0011
8 Ga 0.5000 0.6050 0.6050
9 Hf 0.2501 0.3328 0.6671
10 Hf 0.7499 0.6671 0.3328
11 Hf 0.2501 0.6671 0.3328
12 Hf 0.7499 0.3328 0.6671
13 Zr 0.0000 0.2406 0.0003
14 Ga 0.0000 0.9995 0.6049
15 Ga 0.5000 0.0011 0.3946
16 Ga 0.0000 0.6049 0.9995

***

(8)
HfZr2Ga2 at its PBEsol-relaxed geometry. Source: Alexandria, functional meta-GGA SCAN.

Results
**VASP energy**: -319.9 eV/cell
**Calculated density**: 8.72 Mg/m³
**Energy relative to the elements**: -0.63 eV/atom
**Calculated volume**: 190.7 Å³/cell

abc: 3.6784 7.1998 7.1998
angles: 90.00 90.00 90.00
Positions (direct):
1 Ga 0.0000 0.6239 0.1239
2 Ga 0.0000 0.3761 0.8761
3 Ga 0.0000 0.8761 0.6239
4 Zr 0.5000 0.1762 0.6762
5 Hf 0.0000 0.5000 0.5000
6 Ga 0.0000 0.1239 0.3761
7 Hf 0.0000 0.0000 0.0000
8 Zr 0.5000 0.6762 0.8238
9 Zr 0.5000 0.3238 0.1762
10 Zr 0.5000 0.8238 0.3238

***

(9)
GaHgI3 at its PBEsol-relaxed geometry. Source: Alexandria, functional meta-GGA SCAN.

Results
**VASP energy**: -195.2 eV/cell
**ΔE_f (raw)**: -0.49 eV per formula unit
**Calculated density**: 6.40 Mg/m³
**Calculated volume**: 168.8 Å³/cell

abc: 5.5265 5.5265 5.5265
angles: 90.00 90.00 90.00
Positions (direct):
1 Ga 0.0000 0.0000 0.0000
2 I 0.0000 0.5000 0.0000
3 I 0.5000 0.0000 0.0000
4 Hg 0.5000 0.5000 0.5000
5 I 0.0000 0.0000 0.5000

***

(10)
Ga3HgI at its PBEsol-relaxed geometry. Source: Alexandria, functional meta-GGA SCAN.

Results
**VASP energy**: -153.0 eV/cell
**ΔE_f (raw)**: 0.98 eV per formula unit
**Calculated density**: 6.33 Mg/m³
**Calculated volume**: 140.8 Å³/cell

abc: 5.2028 5.2028 5.2028
angles: 90.00 90.00 90.00
Positions (direct):
1 I 0.5000 0.5000 0.5000
2 Ga 0.5000 0.0000 0.0000
3 Ga 0.0000 0.5000 0.0000
4 Ga 0.0000 0.0000 0.5000
5 Hg 0.0000 0.0000 0.0000

***

(11)
InGa2Hg at its PBEsol-relaxed geometry. Source: Alexandria, functional meta-GGA SCAN.

Results
**VASP energy**: -267.5 eV/cell
**Calculated density**: 8.58 Mg/m³
**Energy relative to the elements**: 0.13 eV/atom
**Polymorph energy (0 for the lowest one)**: 0.000 eV per atom
**Calculated volume**: 176.0 Å³/cell

abc: 5.8330 6.2192 6.2192
angles: 77.30 62.03 62.03
Positions (direct):
1 Ga 0.3750 0.9904 0.5096
2 Ga 0.8750 0.0096 0.4904
3 Ga 0.6346 0.4904 0.9904
4 In 0.5000 0.0000 0.0000
5 Hg 0.7500 0.5000 0.5000
6 Ga 0.1154 0.5096 0.0096
7 In 0.2500 0.5000 0.5000
8 Hg 0.0000 0.0000 0.0000

***

(12)
InGa2Hg at its PBEsol-relaxed geometry. Source: Alexandria, functional meta-GGA SCAN.

Results
**VASP energy**: -133.5 eV/cell
**Calculated density**: 8.93 Mg/m³
**Energy relative to the elements**: 0.18 eV/atom
**Polymorph energy (0 for the lowest one)**: 0.050 eV per atom
**Calculated volume**: 84.6 Å³/cell

abc: 4.9266 4.9266 4.9266
angles: 60.00 60.00 60.00
Positions (direct):
1 Ga 0.7500 0.7500 0.7500
2 Ga 0.2500 0.2500 0.2500
3 Hg 0.5000 0.5000 0.5000
4 In 0.0000 0.0000 0.0000

***

no.,N(E_F) (states/eV/f.u.)
1,6.47
2,6.32
3,3.59
4,1.20
5,2.31
6,2.54
7,15.90
8,5.43
9,2.26
10,1.83
11,1.75
12,0.91